# 1
First-principles (GGA-PBE) data for a relaxed structure of SmSnSe3, as listed in Alexandria via LeMat-Bulk.

- Space-group type: R-3
- Crystal system: trigonal
- Electronic total energy: -4.861 eV per atom
- Fermi-level density of states: 7.07 states/eV per cell

Unit cell a=7.3126 b=7.3131 c=7.7431 alpha=61.83 beta=61.84 gamma=59.98
Closest atoms and distances in Å follow each position.
Fractional coordinates of all 10 atoms:
Sn1 0.1513 0.1514 0.5458  6 Se 2.86-2.89
Sn2 0.8487 0.8486 0.4542  6 Se 2.86-2.89
Se1 0.9500 0.2452 0.2557  2 Sn 2.86-2.89, 2 Sm 2.90-2.98
Se2 0.4510 0.0502 0.7440  2 Sn 2.86-2.89, 2 Sm 2.89-2.98
Se3 0.2453 0.5488 0.2559  2 Sn 2.86-2.89, 2 Sm 2.90-2.98
Se4 0.7547 0.4511 0.7441  2 Sn 2.86-2.89, 2 Sm 2.90-2.98
Se5 0.5490 0.9498 0.2560  2 Sn 2.86-2.89, 2 Sm 2.89-2.98
Se6 0.0500 0.7548 0.7443  2 Sn 2.86-2.89, 2 Sm 2.90-2.98
Sm1 0.6483 0.6484 0.0549  6 Se 2.89-2.98
Sm2 0.3517 0.3516 0.9451  6 Se 2.89-2.98

=====

# 2
First-principles (GGA-PBE) data for a relaxed structure of Sm8SnSe6, as listed in Alexandria via LeMat-Bulk.

- Space-group type: P-3
- Crystal system: trigonal
- Electronic total energy: -5.570 eV per atom
- Fermi-level density of states: 11.71 states/eV per cell

Unit cell a=4.1736 b=10.7501 c=10.7501 alpha=120.00 beta=90.00 gamma=90.00
Closest atoms and distances in Å follow each position.
Fractional coordinates of all 15 atoms:
Se1 0.2502 0.5173 0.6490  6 Sm 2.85-3.11
Se2 0.2502 0.1317 0.4827  6 Sm 2.85-3.11
Se3 0.7498 0.4827 0.3510  6 Sm 2.85-3.11
Se4 0.7498 0.6490 0.1317  6 Sm 2.85-3.11
Se5 0.7498 0.8683 0.5173  6 Sm 2.85-3.11
Se6 0.2502 0.3510 0.8683  6 Sm 2.85-3.11
Sm1 0.7471 0.7112 0.6766  4 Se 2.85-3.11
Sm2 0.7471 0.9654 0.2888  4 Se 2.85-3.11
Sm3 0.2529 0.6766 0.9654  4 Se 2.85-3.11
Sm4 0.2513 0.6667 0.3333  6 Se 2.94-2.95
Sm5 0.2529 0.0346 0.7112  4 Se 2.85-3.11
Sm6 0.2529 0.2888 0.3234  4 Se 2.85-3.11
Sm7 0.7471 0.3234 0.0346  4 Se 2.85-3.11
Sm8 0.7487 0.3333 0.6667  6 Se 2.94-2.95
Sn1 0.5000 0.0000 0.0000  6 Sm 3.46

=====

Number 1: magnetic moment 0.00 μB/f.u.. Number 2: magnetic moment 0.00 μB/f.u..